First-principles (PBE-GGA) data for crystalline LaHo15Tm4 at its relaxed geometry, as listed in Alexandria via LeMat-Bulk.

a b c (Å): 4.9892 4.9892 24.9773
angles (deg): 90.00 90.00 90.00
With the nearest neighbours (Å) after each atom.
Sites, in units of the cell vectors:
La (0.0000, 0.0000, 0.0000)  12 Ho 3.53-3.59
Ho (0.0000, 0.5000, 0.1033)  2 Tm 3.51, 8 Ho 3.52-3.59, 2 La 3.59
Ho (0.0000, 0.5000, 0.3015)  8 Ho 3.50-3.53, 4 Tm 3.52
Ho (0.0000, 0.5000, 0.5000)  4 Tm 3.52, 8 Ho 3.52-3.53
Ho (0.0000, 0.5000, 0.6985)  8 Ho 3.50-3.53, 4 Tm 3.52
Ho (0.0000, 0.5000, 0.8967)  2 Tm 3.51, 8 Ho 3.52-3.59, 2 La 3.59
Ho (0.5000, 0.0000, 0.1033)  2 Tm 3.51, 8 Ho 3.52-3.59, 2 La 3.59
Ho (0.5000, 0.0000, 0.3015)  8 Ho 3.50-3.53, 4 Tm 3.52
Ho (0.5000, 0.0000, 0.5000)  4 Tm 3.52, 8 Ho 3.52-3.53
Ho (0.5000, 0.0000, 0.6985)  8 Ho 3.50-3.53, 4 Tm 3.52
Ho (0.5000, 0.0000, 0.8967)  2 Tm 3.51, 8 Ho 3.52-3.59, 2 La 3.59
Ho (0.5000, 0.5000, 0.0000)  4 La 3.53, 8 Ho 3.59
Ho (0.5000, 0.5000, 0.2030)  8 Ho 3.50-3.52, 4 Tm 3.53
Ho (0.5000, 0.5000, 0.4007)  8 Ho 3.52, 4 Tm 3.53
Ho (0.5000, 0.5000, 0.5993)  8 Ho 3.52, 4 Tm 3.53
Ho (0.5000, 0.5000, 0.7970)  8 Ho 3.50-3.52, 4 Tm 3.53
Tm (0.0000, 0.0000, 0.2019)  12 Ho 3.51-3.53
Tm (0.0000, 0.0000, 0.4008)  12 Ho 3.52-3.53
Tm (0.0000, 0.0000, 0.5992)  12 Ho 3.52-3.53
Tm (0.0000, 0.0000, 0.7981)  12 Ho 3.51-3.53

Output
total magnetic moment: 0.0 μB per formula unit
space-group type: P4/mmm, No. 123
formation energy: 25 meV per atom